# 1
Compound: Pr2ZnCuN
Source: the Alexandria database
Functional: GGA-PBE
Structure: relaxed

Output
Formation energy without anion corrections in eV per atom: -0.545
Crystal system: monoclinic
Calculated density in Mg/m³: 6.75
Raw total energy in eV/cell: -52.0
Volume in Å³/atom: 20.90
Space group: P2_1/m
Spin magnetization in μB/f.u.: 0.000

Cell: 3.857 7.124 7.955 Å, 107.02 90.00 90.00°
Fractional coordinates of all 10 atoms:
Zn 0.750 0.337 0.710
Zn 0.250 0.663 0.290
N 0.750 0.155 0.172
N 0.250 0.845 0.828
Pr 0.250 0.197 0.393
Pr 0.750 0.803 0.045
Pr 0.750 0.803 0.607
Pr 0.250 0.197 0.955
Cu 0.750 0.446 0.243
Cu 0.250 0.554 0.757



# 2
Compound: Tb5PrNdEr2
Source: the Alexandria database
Functional: GGA-PBE
Structure: relaxed

Output
Crystal system: orthorhombic
Calculated density in Mg/m³: 7.85
Raw total energy in eV/cell: -80.8
Volume in Å³/atom: 33.23
Space group: Cmc2_1
Spin magnetization in μB/f.u.: 0.000
Energy relative to the elements in meV/atom: 157

Cell: 5.632 10.334 10.682 Å, 90.00 90.00 105.81°
Fractional coordinates of all 18 atoms:
Tb 0.017 0.035 0.027
Tb 0.523 0.045 0.237
Tb 0.702 0.404 0.207
Tb 0.392 0.785 0.025
Tb 0.718 0.435 0.808
Tb 0.983 0.965 0.527
Tb 0.298 0.596 0.707
Tb 0.282 0.565 0.308
Tb 0.608 0.215 0.525
Tb 0.477 0.955 0.737
Er 0.109 0.219 0.736
Er 0.115 0.229 0.322
Er 0.891 0.781 0.236
Er 0.885 0.771 0.822
Pr 0.797 0.594 0.511
Pr 0.203 0.406 0.011
Nd 0.583 0.166 0.951
Nd 0.417 0.834 0.451



# 3
Compound: Pm4SmTm3S8
Source: the Alexandria database
Functional: GGA-PBE
Structure: relaxed

Output
Formation energy without anion corrections in eV per atom: -1.993
Crystal system: trigonal
Calculated density in Mg/m³: 7.05
Raw total energy in eV/cell: -102.0
Volume in Å³/atom: 21.98
Space group: R-3m
Spin magnetization in μB/f.u.: 0.000

Cell: 7.870 7.977 7.870 Å, 119.55 120.00 90.00°
Fractional coordinates of all 16 atoms:
Pm 0.000 0.000 0.500
Pm 0.500 0.000 0.500
Pm 0.000 0.000 0.000
Pm 0.500 0.000 0.000
Tm 0.500 0.500 0.500
Tm 0.500 0.500 0.000
Tm 0.000 0.500 0.500
S 0.751 0.264 0.013
S 0.262 0.264 0.013
S 0.751 0.264 0.502
S 0.738 0.736 0.987
S 0.256 0.269 0.513
S 0.744 0.731 0.487
S 0.249 0.736 0.498
S 0.249 0.736 0.987
Sm 0.000 0.500 0.000



# 4
Compound: PrPt2Au8
Source: the Alexandria database
Functional: GGA-PBE
Structure: relaxed

Output
Crystal system: orthorhombic
Calculated density in Mg/m³: 15.94
Raw total energy in eV/cell: -44.6
Volume in Å³/atom: 19.95
Space group: Cmmm
Spin magnetization in μB/f.u.: 0.000
Energy relative to the elements in meV/atom: -142

Cell: 4.193 7.428 7.428 Å, 108.46 89.95 89.95°
Fractional coordinates of all 11 atoms:
Au 0.500 0.664 0.664
Au 0.000 0.962 0.681
Au 0.500 0.751 0.249
Au 0.500 0.336 0.336
Au 0.000 0.681 0.962
Au 0.000 0.319 0.038
Au 0.500 0.249 0.751
Au 0.000 0.038 0.319
Pt 0.000 0.612 0.388
Pt 0.000 0.388 0.612
Pr 0.500 0.000 0.000



# 5
Compound: RbLiSc2Tl
Source: the Alexandria database
Functional: GGA-PBE
Structure: relaxed

Output
Crystal system: tetragonal
Calculated density in Mg/m³: 4.00
Raw total energy in eV/cell: -14.1
Volume in Å³/atom: 32.11
Space group: P4/mmm
Spin magnetization in μB/f.u.: 2.599
Energy relative to the elements in meV/atom: 760

Cell: 5.356 5.598 5.356 Å, 90.00 90.00 90.00°
Each line ends with the local moment (μB).
Fractional coordinates of all 5 atoms:
Sc 0.000 0.000 0.500  0.46
Sc 0.500 0.000 0.000  0.67
Li 0.000 0.000 0.000  0.12
Tl 0.500 0.500 0.500  0.09
Rb 0.000 0.500 0.000  0.04



# 6
Compound: BeTc2Te
Source: the Alexandria database
Functional: GGA-PBE
Structure: relaxed

Output
Formation energy without anion corrections in eV per atom: 0.327
Crystal system: orthorhombic
Calculated density in Mg/m³: 9.32
Raw total energy in eV/cell: -26.3
Volume in Å³/atom: 14.81
Space group: Immm
Energy relative to the lowest polymorph listed for this composition in eV/f.u.: 0.777
Spin magnetization in μB/f.u.: 0.000

Cell: 4.837 4.837 4.837 Å, 140.71 122.54 71.83°
Fractional coordinates of all 4 atoms:
Tc 0.545 0.545 0.000
Tc 0.955 0.955 0.000
Te 0.250 0.750 0.500
Be 0.750 0.250 0.500